Record 1
## Gd2AsO (GGA-PBE)

Data for a relaxed structure of Gd2AsO.

a = 4.3443 Å, b = 4.3443 Å, c = 7.5927 Å
α = 73.38°, β = 73.38°, γ = 60.00°
Last column: nearest neighbours and their distance in Å.
Element x y z (fractional)
1 As 0.5000 0.5000 0.5000  6 Gd 2.93
2 Gd 0.0958 0.0958 0.7125  1 O 2.06
3 Gd 0.9042 0.9042 0.2875  1 O 2.06
4 O 0.0000 0.0000 0.0000  2 Gd 2.06

Calculated values
* formation energy (no corrections): -1840 meV/atom
* N(E_F): 4.17 states/eV per cell
* total energy: -45.129 eV/cell

=====

Record 2
## GdPaAs2 (GGA-PBE)

Data for a relaxed structure of GdPaAs2.

a = 4.2196 Å, b = 4.2196 Å, c = 8.8800 Å
α = 76.26°, β = 76.26°, γ = 60.00°
Last column: nearest neighbours and their distance in Å.
Element x y z (fractional)
1 As 0.1096 0.1096 0.6713  1 Gd 2.81, 3 Pa 2.84
2 As 0.8904 0.8904 0.3287  1 Gd 2.81, 3 Pa 2.84
3 Gd 0.0000 0.0000 0.0000  2 As 2.81
4 Pa 0.5000 0.5000 0.5000  6 As 2.84

Calculated values
* formation energy: -0.492 eV per atom
* N(E_F): 7.81 states/eV per cell
* total energy: -34.844 eV/cell

=====

For the records above, the corresponding total magnetization values read 14.555, 7.664 μB/cell.